4
Lattice="6.7351 0.0965 0.0070 4.2081 5.2596 -0.0070 -4.9512 -3.7414 2.6190" Properties=species:S:1:pos:R:3 comment="PBE AlTl2Cr, optimized geometry" m_tot_mub_per_cell=3.46 dft_energy_ev_per_atom=-4.091 n_ef_per_ev_atom=0.65 formation_energy_mev_per_atom=433.8 pbc="T T T"
Cr 2.4943 2.1617 1.3060
Tl 0.4759 0.2329 0.0000
Tl 3.6724 -0.4616 1.3130
Al 4.8211 2.3596 0.0000